Model A:
Be3AlIr | PBE | relaxed

a = 4.2305 Å, b = 4.2305 Å, c = 4.2305 Å
α = 90.00°, β = 90.00°, γ = 90.00°
Last column: nearest neighbours and their distance in Å.
Space group Pm-3m (No. 221)
Unique sites:
Be: 0.0000 0.0000 0.5000 [3 per cell]  2 Ir 2.12
Al: 0.5000 0.5000 0.5000 [1 per cell]  12 Be 2.99
Ir: 0.0000 0.0000 0.0000 [1 per cell]  6 Be 2.12

Properties
M_tot = 0.00 μB per formula unit

---

Model B:
Be3AlIr | PBE | relaxed

a = 4.0688 Å, b = 4.0688 Å, c = 4.0688 Å
α = 90.00°, β = 90.00°, γ = 90.00°
Last column: nearest neighbours and their distance in Å.
Space group Pm-3m (No. 221)
Unique sites:
Be: 0.0000 0.0000 0.5000 [3 per cell]  2 Al 2.03
Al: 0.0000 0.0000 0.0000 [1 per cell]  6 Be 2.03
Ir: 0.5000 0.5000 0.5000 [1 per cell]  12 Be 2.88

Properties
M_tot = 0.00 μB per formula unit

---

How do the energies compare? Relative to the most stable structure, in kJ/mol of atoms: model A 0.0; model B 89.2.

---

Model A:
BeAlIr2 | PBE | relaxed

a = 2.8755 Å, b = 3.9538 Å, c = 4.6981 Å
α = 90.00°, β = 90.00°, γ = 90.00°
Last column: nearest neighbours and their distance in Å.
Space group Pmmm (No. 47)
Unique sites:
Be: 0.0000 0.0000 0.0000 [1 per cell]  4 Ir 2.44
Al: 0.5000 0.0000 0.5000 [1 per cell]  4 Ir 2.44
Ir: 0.0000 0.5000 0.5000 [1 per cell]  4 Al 2.44
Ir: 0.5000 0.5000 0.0000 [1 per cell]  4 Be 2.44

Properties
M_tot = 0.00 μB per formula unit

---

Model B:
BeAlIr2 | PBE | relaxed

a = 3.5694 Å, b = 3.5694 Å, c = 8.2253 Å
α = 90.00°, β = 90.00°, γ = 90.00°
Last column: nearest neighbours and their distance in Å.
Space group I-4m2 (No. 119)
Unique sites:
Be: 0.0000 0.0000 0.0000 [2 per cell]  8 Ir 2.52-2.72, 4 Al 2.72
Al: 0.0000 0.5000 0.2500 [2 per cell]  8 Ir 2.52-2.72, 4 Be 2.72
Ir: 0.0000 0.0000 0.5000 [2 per cell]  4 Be 2.52, 4 Al 2.72, 4 Ir 2.72
Ir: 0.0000 0.5000 0.7500 [2 per cell]  4 Al 2.52, 4 Ir 2.72, 4 Be 2.72

Properties
M_tot = 0.00 μB per formula unit

---

How do the energies compare? Relative to the most stable structure, in kJ/mol of atoms: model A 1.8; model B 0.0.

---

Model A:
BeAlIr2 | PBE | relaxed

a = 2.9620 Å, b = 2.9620 Å, c = 5.8589 Å
α = 90.00°, β = 90.00°, γ = 90.00°
Last column: nearest neighbours and their distance in Å.
Space group P4mm (No. 99)
Unique sites:
Be: 0.0000 0.0000 0.0000 [1 per cell]  4 Ir 2.33, 4 Al 2.56
Al: 0.5000 0.5000 0.7481 [1 per cell]  5 Ir 2.49-2.50, 4 Be 2.56
Ir: 0.0000 0.0000 0.5144 [1 per cell]  4 Al 2.50
Ir: 0.5000 0.5000 0.1731 [1 per cell]  4 Be 2.33, 1 Al 2.49

Properties
M_tot = 0.00 μB per formula unit

---

Model B:
BeAlIr2 | PBE | relaxed

a = 2.7739 Å, b = 4.7136 Å, c = 8.4175 Å
α = 90.00°, β = 90.00°, γ = 90.00°
Last column: nearest neighbours and their distance in Å.
Space group Cmm2 (No. 35)
Unique sites:
Be: 0.0000 0.0000 0.0000 [2 per cell]  2 Ir 2.25
Al: 0.0000 0.5000 0.2531 [2 per cell]  2 Ir 2.48, 2 Be 2.54, 6 Al 2.73-2.77
Ir: 0.0000 0.0000 0.4976 [2 per cell]  2 Al 2.48, 6 Ir 2.73-2.77
Ir: 0.0000 0.5000 0.7895 [2 per cell]  2 Be 2.25

Properties
M_tot = 0.00 μB per formula unit

---

How do the energies compare? Relative to the most stable structure, in kJ/mol of atoms: model A 0.0; model B 47.5.

---

Model A:
BeAlIr | PBE | relaxed

a = 3.9318 Å, b = 3.9318 Å, c = 2.8608 Å
α = 90.00°, β = 90.00°, γ = 120.00°
Last column: nearest neighbours and their distance in Å.
Space group P-6m2 (No. 187)
Unique sites:
Be: 0.0000 0.0000 0.0000 [1 per cell]  3 Ir 2.27
Al: 0.3333 0.6667 0.5000 [1 per cell]  6 Be 2.68, 6 Ir 2.68, 2 Al 2.86
Ir: 0.6667 0.3333 0.0000 [1 per cell]  3 Be 2.27

Properties
M_tot = 0.00 μB per formula unit

---

Model B:
BeAlIr | PBE | relaxed

a = 5.6431 Å, b = 5.6431 Å, c = 5.6431 Å
α = 90.00°, β = 90.00°, γ = 90.00°
Last column: nearest neighbours and their distance in Å.
Space group F-43m (No. 216)
Unique sites:
Be: 0.0000 0.0000 0.0000 [4 per cell]  4 Ir 2.44
Al: 0.0000 0.0000 0.5000 [4 per cell]  4 Ir 2.44
Ir: 0.2500 0.2500 0.2500 [4 per cell]  4 Be 2.44, 4 Al 2.44

Properties
M_tot = 0.00 μB per formula unit

---

Model C:
BeAlIr | PBE | relaxed

a = 2.8059 Å, b = 2.8059 Å, c = 5.7883 Å
α = 90.00°, β = 90.00°, γ = 120.00°
Last column: nearest neighbours and their distance in Å.
Space group P3m1 (No. 156)
Unique sites:
Be: 0.0000 0.0000 0.0000 [1 per cell]  3 Ir 2.36, 3 Al 2.60
Al: 0.6667 0.3333 0.6498 [1 per cell]  3 Be 2.60, 3 Ir 2.61, 6 Al 2.81
Ir: 0.3333 0.6667 0.2963 [1 per cell]  3 Be 2.36, 3 Al 2.61

Properties
M_tot = 0.00 μB per formula unit

---

Model D:
BeAlIr | PBE | relaxed

a = 2.9818 Å, b = 2.9818 Å, c = 8.2220 Å
α = 90.00°, β = 90.00°, γ = 90.00°
Last column: nearest neighbours and their distance in Å.
Space group I4mm (No. 107)
Unique sites:
Be: 0.0000 0.0000 0.0000 [2 per cell]  4 Ir 2.41, 5 Al 2.55-2.68
Al: 0.0000 0.0000 0.3263 [2 per cell]  5 Be 2.55-2.68, 5 Ir 2.60
Ir: 0.0000 0.0000 0.6422 [2 per cell]  4 Be 2.41, 5 Al 2.60

Properties
M_tot = 0.00 μB per formula unit

---

How do the energies compare? Relative to the most stable structure, in kJ/mol of atoms: model A 6.0; model B 28.6; model C 41.1; model D 0.0.

---

Model A:
BeAlIr | PBE | relaxed

a = 5.4172 Å, b = 5.4172 Å, c = 5.4172 Å
α = 90.00°, β = 90.00°, γ = 90.00°
Last column: nearest neighbours and their distance in Å.
Space group F-43m (No. 216)
Unique sites:
Be: 0.0000 0.0000 0.0000 [4 per cell]  4 Al 2.35, 4 Ir 2.35
Al: 0.2500 0.2500 0.2500 [4 per cell]  4 Be 2.35
Ir: 0.2500 0.2500 0.7500 [4 per cell]  4 Be 2.35

Properties
M_tot = 0.00 μB per formula unit

---

Model B:
BeAlIr | PBE | relaxed

a = 2.8988 Å, b = 2.8988 Å, c = 19.0104 Å
α = 90.00°, β = 90.00°, γ = 90.00°
Last column: nearest neighbours and their distance in Å.
Space group I4/mmm (No. 139)
Unique sites:
Be: 0.0000 0.0000 0.2181 [4 per cell]  4 Be 2.38, 5 Ir 2.39-2.44
Al: 0.0000 0.0000 0.0699 [4 per cell]  4 Ir 2.59, 5 Al 2.66-2.90, 1 Be 2.82
Ir: 0.0000 0.0000 0.3465 [4 per cell]  5 Be 2.39-2.44, 4 Al 2.59

Properties
M_tot = 0.00 μB per formula unit

---

How do the energies compare? Relative to the most stable structure, in kJ/mol of atoms: model A 15.4; model B 0.0.

---

Model A:
BeAlIr3 | PBE | relaxed

a = 4.4173 Å, b = 4.4173 Å, c = 4.4173 Å
α = 90.00°, β = 90.00°, γ = 90.00°
Last column: nearest neighbours and their distance in Å.
Space group Pm-3m (No. 221)
Unique sites:
Be: 0.0000 0.0000 0.0000 [1 per cell]  12 Ir 3.12
Al: 0.5000 0.5000 0.5000 [1 per cell]  6 Ir 2.21
Ir: 0.0000 0.5000 0.5000 [3 per cell]  2 Al 2.21

Properties
M_tot = 0.00 μB per formula unit

---

Model B:
BeAlIr3 | PBE | relaxed

a = 4.1164 Å, b = 4.1164 Å, c = 4.1164 Å
α = 90.00°, β = 90.00°, γ = 90.00°
Last column: nearest neighbours and their distance in Å.
Space group Pm-3m (No. 221)
Unique sites:
Be: 0.0000 0.0000 0.0000 [1 per cell]  6 Ir 2.06
Al: 0.5000 0.5000 0.5000 [1 per cell]  12 Ir 2.91
Ir: 0.0000 0.0000 0.5000 [3 per cell]  2 Be 2.06

Properties
M_tot = 0.00 μB per formula unit

---

How do the energies compare? Relative to the most stable structure, in kJ/mol of atoms: model A 117.2; model B 0.0.

---

Model A:
BeAl2Ir2 | PBE | relaxed

a = 6.9482 Å, b = 6.9482 Å, c = 2.9773 Å
α = 90.00°, β = 90.00°, γ = 90.00°
Last column: nearest neighbours and their distance in Å.
Space group P4/mbm (No. 127)
Unique sites:
Be: 0.0000 0.0000 0.0000 [2 per cell]  4 Ir 2.62
Al: 0.1417 0.3583 0.5000 [4 per cell]  6 Ir 2.46-2.57
Ir: 0.1585 0.6585 0.0000 [4 per cell]  6 Al 2.46-2.57, 2 Be 2.62

Properties
M_tot = 0.00 μB per formula unit

---

Model B:
BeAl2Ir2 | PBE | relaxed

a = 4.1648 Å, b = 4.1648 Å, c = 9.6782 Å
α = 90.00°, β = 90.00°, γ = 90.00°
Last column: nearest neighbours and their distance in Å.
Space group I4/mmm (No. 139)
Unique sites:
Be: 0.0000 0.0000 0.0000 [2 per cell]  8 Al 3.19, 8 Ir 3.19
Al: 0.0000 0.0000 0.3742 [4 per cell]  4 Ir 2.40, 1 Al 2.43
Ir: 0.0000 0.5000 0.2500 [4 per cell]  4 Al 2.40

Properties
M_tot = 0.00 μB per formula unit

---

How do the energies compare? Relative to the most stable structure, in kJ/mol of atoms: model A 0.0; model B 64.6.

---

Model A:
BeAl3Ir | PBE | relaxed

a = 4.7475 Å, b = 4.7475 Å, c = 4.7475 Å
α = 90.00°, β = 90.00°, γ = 90.00°
Last column: nearest neighbours and their distance in Å.
Space group Pm-3m (No. 221)
Unique sites:
Be: 0.0000 0.0000 0.0000 [1 per cell]  12 Al 3.36
Al: 0.0000 0.5000 0.5000 [3 per cell]  2 Ir 2.37
Ir: 0.5000 0.5000 0.5000 [1 per cell]  6 Al 2.37

Properties
M_tot = 0.00 μB per formula unit

---

Model B:
BeAl3Ir | PBE | relaxed

a = 4.1974 Å, b = 4.1974 Å, c = 4.1974 Å
α = 90.00°, β = 90.00°, γ = 90.00°
Last column: nearest neighbours and their distance in Å.
Space group Pm-3m (No. 221)
Unique sites:
Be: 0.0000 0.0000 0.0000 [1 per cell]  6 Al 2.10
Al: 0.0000 0.0000 0.5000 [3 per cell]  2 Be 2.10
Ir: 0.5000 0.5000 0.5000 [1 per cell]  12 Al 2.97

Properties
M_tot = 0.00 μB per formula unit

---

How do the energies compare? Relative to the most stable structure, in kJ/mol of atoms: model A 0.0; model B 10.8.